1.
Compound: ErRhS
Source: the Alexandria database
Functional: PBE
Structure: optimized geometry

abc: 3.563 4.141 4.141
angles: 120.00 90.00 90.00
Atoms (fractional coordinates):
Er 0.667 0.667 0.333
S 0.169 0.333 0.667
Rh 0.165 0.000 0.000

## Properties
Its density of states at the Fermi level is 0.89 states/eV per cell. As for the space group: No. 156. The value obtained for the formation energy (no corrections) is -1246 meV/atom.

2.
Compound: Li3TmF6
Source: the Alexandria database
Functional: PBE
Structure: optimized geometry

abc: 3.378 8.525 8.211
angles: 116.19 90.00 90.00
Atoms (fractional coordinates):
F 0.250 0.525 0.376
F 0.750 0.823 0.725
F 0.250 0.076 0.909
F 0.750 0.924 0.091
F 0.750 0.732 0.270
F 0.250 0.177 0.275
F 0.750 0.349 0.017
F 0.250 0.925 0.552
F 0.250 0.268 0.730
F 0.750 0.075 0.448
F 0.250 0.651 0.983
F 0.750 0.475 0.624
Li 0.750 0.528 0.872
Li 0.250 0.472 0.128
Li 0.250 0.820 0.844
Li 0.250 0.376 0.516
Li 0.750 0.624 0.484
Li 0.750 0.180 0.156
Tm 0.250 0.906 0.267
Tm 0.750 0.094 0.733

## Properties
Its density of states at the Fermi level is 0.00 states/eV per cell. As for the space group: No. 11. The value obtained for the formation energy (no corrections) is -3380 meV/atom.

3.
Compound: ScCdPb2
Source: the Alexandria database
Functional: PBE
Structure: optimized geometry

abc: 5.354 5.354 5.354
angles: 60.00 60.00 60.00
Atoms (fractional coordinates):
Cd 0.500 0.500 0.500
Pb 0.250 0.250 0.250
Pb 0.000 0.000 0.000
Sc 0.750 0.750 0.750

## Properties
Its density of states at the Fermi level is 2.79 states/eV per cell. As for the space group: No. 216. The value obtained for the total energy is -14.64 eV per cell.

4.
Compound: V3Co2Ir2
Source: the Alexandria database
Functional: PBE
Structure: optimized geometry

abc: 2.706 5.734 6.334
angles: 107.86 89.95 103.64
Atoms (fractional coordinates):
Co 0.432 0.864 0.278
Co 0.568 0.136 0.722
Ir 0.863 0.728 0.586
Ir 0.137 0.272 0.414
V 0.268 0.536 0.845
V 0.732 0.464 0.155
V 0.000 0.000 0.000

## Properties
Its density of states at the Fermi level is 7.57 states/eV per cell. As for the space group: No. 12. The value obtained for the total energy is -60.49 eV per cell.

5.
Compound: K5C
Source: the Alexandria database
Functional: PBE
Structure: optimized geometry

abc: 16.442 16.442 4.879
angles: 90.00 90.00 165.86
Atoms (fractional coordinates):
K 0.814 0.186 0.500
K 0.575 0.425 0.000
K 0.425 0.575 0.000
K 0.500 0.500 0.500
K 0.186 0.814 0.500
C 0.000 0.000 0.000

## Properties
Its density of states at the Fermi level is 3.56 states/eV per cell. As for the space group: No. 65. The value obtained for the total energy is -10.11 eV per cell.

6.
Compound: AlSiSe
Source: the Alexandria database
Functional: PBE
Structure: optimized geometry

abc: 4.101 5.663 6.349
angles: 103.94 90.90 108.09
Atoms (fractional coordinates):
Se 0.927 0.745 0.903
Se 0.233 0.421 0.300
Si 0.530 0.873 0.421
Si 0.085 0.984 0.629
Al 0.490 0.065 0.110
Al 0.959 0.319 0.913

## Properties
As for the space group: No. 1. The value obtained for the formation energy (no corrections) is -166 meV/atom.

7.
Compound: TaBe3Ge
Source: the Alexandria database
Functional: PBE
Structure: optimized geometry

abc: 4.538 4.538 4.538
angles: 90.00 90.00 90.00
Atoms (fractional coordinates):
Ta 0.000 0.000 0.000
Be 0.000 0.500 0.000
Be 0.500 0.000 0.000
Be 0.000 0.000 0.500
Ge 0.500 0.500 0.500

## Properties
Its density of states at the Fermi level is 5.23 states/eV per cell. As for the space group: No. 221. The value obtained for the total energy is -19.40 eV per cell.

8.
Compound: SrZr2Rh
Source: the Alexandria database
Functional: PBE
Structure: optimized geometry

abc: 5.338 5.338 9.870
angles: 74.31 74.31 90.00
Atoms (fractional coordinates):
Zr 0.875 0.625 0.250
Zr 0.375 0.125 0.750
Zr 0.875 0.125 0.250
Zr 0.875 0.125 0.750
Rh 0.750 0.250 0.500
Rh 0.000 0.000 0.000
Sr 0.500 0.500 0.000
Sr 0.250 0.750 0.500

## Properties
Its density of states at the Fermi level is 10.23 states/eV per cell. As for the space group: No. 141. The value obtained for the total energy is -47.67 eV per cell.

Record-wise magnetic moment values, in Bohr magnetons per cell: 0.0, 0.1, 0.0, 0.0, 2.1, 0.0, 0.0, 0.0